(A)
# NbGaCo4 (GGA-PBE, relaxed)
# Magnetic moment = 7.52 μB/cell
data_NbGaCo4
_cell_length_a 4.968
_cell_length_b 5.972
_cell_length_c 6.284
_cell_angle_alpha 62.37
_cell_angle_beta 68.09
_cell_angle_gamma 74.32
_space_group_name_H-M_alt 'P -1'
_space_group_IT_number 2
loop_
_space_group_symop_operation_xyz
'x,y,z'
'-x,-y,-z'
loop_
_atom_site_label
_atom_site_fract_x
_atom_site_fract_y
_atom_site_fract_z
Nb1 0.019 0.102 0.226
Ga1 0.348 0.257 0.397
Co1 0.043 0.357 0.743
Co2 0.292 0.483 0.945
Co3 0.373 0.693 0.373
Co4 0.377 0.913 0.922



(B)
# NbGaCo4 (GGA-PBE, relaxed)
# Magnetic moment = 12.55 μB/cell
data_NbGaCo4
_cell_length_a 4.038
_cell_length_b 16.907
_cell_length_c 4.727
_cell_angle_alpha 90.00
_cell_angle_beta 90.00
_cell_angle_gamma 90.00
_space_group_name_H-M_alt 'C m c m'
_space_group_IT_number 63
_space_group_name_Hall '-C 2c 2'
loop_
_atom_site_label
_atom_site_fract_x
_atom_site_fract_y
_atom_site_fract_z
Nb1 0.000 0.149 0.250
Ga1 0.000 0.417 0.250
Co1 0.000 0.000 0.000
Co2 0.000 0.290 0.009
Co3 0.000 0.442 0.750



(C)
# NbGaCo4 (GGA-PBE, relaxed)
# Magnetic moment = 0.05 μB/cell
data_NbGaCo4
_cell_length_a 6.650
_cell_length_b 6.650
_cell_length_c 6.650
_cell_angle_alpha 90.00
_cell_angle_beta 90.00
_cell_angle_gamma 90.00
_space_group_name_H-M_alt 'F -4 3 m'
_space_group_IT_number 216
_space_group_name_Hall 'F -4 2 3'
loop_
_atom_site_label
_atom_site_fract_x
_atom_site_fract_y
_atom_site_fract_z
Nb1 0.000 0.000 0.000
Ga1 0.250 0.250 0.250
Co1 0.124 0.124 0.624



Most stable = (C)



(A)
# NbGa2Co2 (GGA-PBE, relaxed)
# Magnetic moment = 0.00 μB/cell
data_NbGa2Co2
_cell_length_a 6.983
_cell_length_b 6.983
_cell_length_c 2.776
_cell_angle_alpha 90.00
_cell_angle_beta 90.00
_cell_angle_gamma 90.00
_space_group_name_H-M_alt 'P 4/m b m'
_space_group_IT_number 127
_space_group_name_Hall '-P 4 2ab'
loop_
_atom_site_label
_atom_site_fract_x
_atom_site_fract_y
_atom_site_fract_z
Nb1 0.000 0.000 0.000
Ga1 0.165 0.335 0.500
Co1 0.131 0.631 0.000



(B)
# NbGa2Co2 (GGA-PBE, relaxed)
# Magnetic moment = 0.00 μB/cell
data_NbGa2Co2
_cell_length_a 3.795
_cell_length_b 3.795
_cell_length_c 20.121
_cell_angle_alpha 90.00
_cell_angle_beta 90.00
_cell_angle_gamma 90.00
_space_group_name_H-M_alt 'I 4/m m m'
_space_group_IT_number 139
_space_group_name_Hall '-I 4 2'
loop_
_atom_site_label
_atom_site_fract_x
_atom_site_fract_y
_atom_site_fract_z
Nb1 0.000 0.000 0.146
Ga1 0.000 0.000 0.321
Ga2 0.000 0.500 0.000
Co1 0.000 0.000 0.433
Co2 0.000 0.500 0.250



(C)
# NbGa2Co2 (GGA-PBE, relaxed)
# Magnetic moment = 0.00 μB/cell
data_NbGa2Co2
_cell_length_a 7.079
_cell_length_b 7.079
_cell_length_c 2.690
_cell_angle_alpha 90.00
_cell_angle_beta 90.00
_cell_angle_gamma 90.00
_space_group_name_H-M_alt 'P 4/m b m'
_space_group_IT_number 127
_space_group_name_Hall '-P 4 2ab'
loop_
_atom_site_label
_atom_site_fract_x
_atom_site_fract_y
_atom_site_fract_z
Nb1 0.000 0.000 0.000
Ga1 0.129 0.371 0.000
Co1 0.170 0.670 0.500



Most stable = (C)



(A)
# Nb2Ga3Co (GGA-PBE, relaxed)
# Magnetic moment = 0.00 μB/cell
data_Nb2Ga3Co
_cell_length_a 5.1303
_cell_length_b 5.1303
_cell_length_c 7.8042
_cell_angle_alpha 90.00
_cell_angle_beta 90.00
_cell_angle_gamma 120.00
_space_group_name_H-M_alt 'P 63/m m c'
_space_group_IT_number 194
_space_group_name_Hall '-P 6c 2c'
loop_
_atom_site_label
_atom_site_fract_x
_atom_site_fract_y
_atom_site_fract_z
Nb1 0.3333 0.6667 0.0690
Ga1 0.1680 0.3360 0.7500
Co1 0.0000 0.0000 0.0000



(B)
# Nb2Ga3Co (GGA-PBE, relaxed)
# Magnetic moment = 4.31 μB/cell
data_Nb2Ga3Co
_cell_length_a 4.548
_cell_length_b 5.237
_cell_length_c 8.424
_cell_angle_alpha 90.00
_cell_angle_beta 90.00
_cell_angle_gamma 90.00
_space_group_name_H-M_alt 'I m m m'
_space_group_IT_number 71
_space_group_name_Hall '-I 2 2'
loop_
_atom_site_label
_atom_site_fract_x
_atom_site_fract_y
_atom_site_fract_z
Nb1 0.000 0.000 0.171
Ga1 0.000 0.500 0.155
Ga2 0.000 0.500 0.500
Co1 0.000 0.000 0.500



Most stable = (A)



(A)
# Nd2Ga6Co (GGA-PBE, relaxed)
# Magnetic moment = 0.00 μB/cell
data_Nd2Ga6Co
_cell_length_a 6.0877
_cell_length_b 6.0877
_cell_length_c 5.4043
_cell_angle_alpha 90.00
_cell_angle_beta 90.00
_cell_angle_gamma 120.00
_space_group_name_H-M_alt 'P -3 m 1'
_space_group_IT_number 164
_space_group_name_Hall '-P 3 2"'
loop_
_atom_site_label
_atom_site_fract_x
_atom_site_fract_y
_atom_site_fract_z
Nd1 0.3333 0.6667 0.2956
Ga1 0.1677 0.3354 0.8028
Co1 0.0000 0.0000 0.5000



(B)
# Nd2Ga6Co (GGA-PBE, relaxed)
# Magnetic moment = 0.00 μB/cell
data_Nd2Ga6Co
_cell_length_a 8.807
_cell_length_b 8.807
_cell_length_c 8.807
_cell_angle_alpha 90.00
_cell_angle_beta 90.00
_cell_angle_gamma 90.00
_space_group_name_H-M_alt 'F m -3 m'
_space_group_IT_number 225
_space_group_name_Hall '-F 4 2 3'
loop_
_atom_site_label
_atom_site_fract_x
_atom_site_fract_y
_atom_site_fract_z
Nd1 0.250 0.250 0.250
Ga1 0.000 0.000 0.223
Co1 0.000 0.000 0.500



Most stable = (B)



(A)
# NdSmGaCo (GGA-PBE, relaxed)
# Magnetic moment = 0.00 μB/cell
data_NdSmGaCo
_cell_length_a 4.161
_cell_length_b 4.262
_cell_length_c 10.571
_cell_angle_alpha 90.00
_cell_angle_beta 90.00
_cell_angle_gamma 90.00
_space_group_name_H-M_alt 'A m m 2'
_space_group_IT_number 38
loop_
_space_group_symop_operation_xyz
'x,y,z'
'-x,-y,z'
'-x,y,z'
'x,-y,z'
'x,y+1/2,z+1/2'
'-x,-y+1/2,z+1/2'
'-x,y+1/2,z+1/2'
'x,-y+1/2,z+1/2'
loop_
_atom_site_label
_atom_site_fract_x
_atom_site_fract_y
_atom_site_fract_z
Nd1 0.000 0.000 0.000
Sm1 0.500 0.000 0.285
Ga1 0.500 0.000 0.585
Co1 0.000 0.000 0.714



(B)
# NdSmGaCo (GGA-PBE, relaxed)
# Magnetic moment = 4.23 μB/cell
data_NdSmGaCo
_cell_length_a 7.174
_cell_length_b 7.174
_cell_length_c 7.174
_cell_angle_alpha 90.00
_cell_angle_beta 90.00
_cell_angle_gamma 90.00
_space_group_name_H-M_alt 'F -4 3 m'
_space_group_IT_number 216
_space_group_name_Hall 'F -4 2 3'
loop_
_atom_site_label
_atom_site_fract_x
_atom_site_fract_y
_atom_site_fract_z
Nd1 0.000 0.000 0.000
Sm1 0.000 0.000 0.500
Ga1 0.250 0.250 0.750
Co1 0.250 0.250 0.250



Most stable = (A)



(A)
# GaCoNi3 (GGA-PBE, relaxed)
# Magnetic moment = 3.66 μB/cell
data_GaCoNi3
_cell_length_a 4.265
_cell_length_b 4.265
_cell_length_c 4.265
_cell_angle_alpha 90.00
_cell_angle_beta 90.00
_cell_angle_gamma 90.00
_space_group_name_H-M_alt 'P m -3 m'
_space_group_IT_number 221
_space_group_name_Hall '-P 4 2 3'
loop_
_atom_site_label
_atom_site_fract_x
_atom_site_fract_y
_atom_site_fract_z
Ga1 0.000 0.000 0.000
Co1 0.500 0.500 0.500
Ni1 0.000 0.500 0.500



(B)
# GaCoNi3 (GGA-PBE, relaxed)
# Magnetic moment = 2.38 μB/cell
data_GaCoNi3
_cell_length_a 4.279
_cell_length_b 4.279
_cell_length_c 4.279
_cell_angle_alpha 90.00
_cell_angle_beta 90.00
_cell_angle_gamma 90.00
_space_group_name_H-M_alt 'P m -3 m'
_space_group_IT_number 221
_space_group_name_Hall '-P 4 2 3'
loop_
_atom_site_label
_atom_site_fract_x
_atom_site_fract_y
_atom_site_fract_z
Ga1 0.000 0.000 0.000
Co1 0.500 0.500 0.500
Ni1 0.000 0.000 0.500



(C)
# GaCoNi3 (GGA-PBE, relaxed)
# Magnetic moment = 5.23 μB/cell
data_GaCoNi3
_cell_length_a 5.9614
_cell_length_b 5.9614
_cell_length_c 4.2860
_cell_angle_alpha 90.00
_cell_angle_beta 90.00
_cell_angle_gamma 120.00
_space_group_name_H-M_alt 'P 63/m m c'
_space_group_IT_number 194
_space_group_name_Hall '-P 6c 2c'
loop_
_atom_site_label
_atom_site_fract_x
_atom_site_fract_y
_atom_site_fract_z
Ga1 0.3333 0.6667 0.2500
Co1 0.0000 0.0000 0.0000
Ni1 0.2011 0.4021 0.7500



Most stable = (C)